(1)
A plane-wave DFT calculation with SCAN was carried out for a crystal of NaZn2Pt2 relaxed with PBEsol.

The structure in POSCAR format:
```
NaZn2Pt2
1.0
7.500 0.000 0.000
0.000 7.500 0.000
0.000 0.000 2.783
Na Zn Pt
2 4 4
Direct
0.000 0.000 0.000
0.500 0.500 0.000
0.135 0.365 0.000
0.365 0.865 0.000
0.635 0.135 0.000
0.865 0.635 0.000
0.161 0.661 0.500
0.339 0.161 0.500
0.661 0.839 0.500
0.839 0.339 0.500
```

Summary:
energy of formation: -2.875 eV per formula unit
N(E_F): 0.29 states/eV/atom
space-group type: P4/mbm



(2)
A plane-wave DFT calculation with SCAN was carried out for a crystal of NaZn3Pt relaxed with PBEsol.

The structure in POSCAR format:
```
NaZn3Pt
1.0
4.801 0.000 0.000
0.000 4.801 0.000
0.000 0.000 4.801
Na Zn Pt
1 3 1
Direct
0.000 0.000 0.000
0.000 0.500 0.500
0.500 0.000 0.500
0.500 0.500 0.000
0.500 0.500 0.500
```

Summary:
energy of formation: -1.448 eV per formula unit
N(E_F): 0.25 states/eV/atom
space-group type: Pm-3m



| no. | magnetization (μB/f.u.) |
| --- | --- |
| 1 | 0.0 |
| 2 | 0.0 |